Entry 1:
# Ac2YSn4Pd3 (PBE, optimized geometry)
data_Ac2YSn4Pd3
_symmetry_space_group_name_H-M 'P -4 m 2'
_symmetry_Int_Tables_number 115
_symmetry_space_group_name_Hall 'P -4 -2'
_cell_length_a 4.590
_cell_length_b 4.590
_cell_length_c 12.313
_cell_angle_alpha 90.00
_cell_angle_beta 90.00
_cell_angle_gamma 90.00
loop_
_atom_site_label
_atom_site_type_symbol
_atom_site_fract_x
_atom_site_fract_y
_atom_site_fract_z
Ac1 Ac 0.000 0.500 0.232
Y1 Y 0.000 0.000 0.500
Sn1 Sn 0.000 0.000 0.000
Sn2 Sn 0.000 0.500 0.657
Sn3 Sn 0.500 0.500 0.000
Pd1 Pd 0.000 0.500 0.876
Pd2 Pd 0.500 0.500 0.500
# Calculated total energy ... -5.410 eV per atom
# DFT formation energy ... -0.783 eV per atom



Entry 2:
# Ac3Zn2SnPd6 (PBE, optimized geometry)
data_Ac3Zn2SnPd6
_symmetry_space_group_name_H-M 'P -3 m 1'
_symmetry_Int_Tables_number 164
_symmetry_space_group_name_Hall '-P 3 2"'
_cell_length_a 5.9342
_cell_length_b 5.9342
_cell_length_c 9.0498
_cell_angle_alpha 90.00
_cell_angle_beta 90.00
_cell_angle_gamma 120.00
loop_
_atom_site_label
_atom_site_type_symbol
_atom_site_fract_x
_atom_site_fract_y
_atom_site_fract_z
Ac1 Ac 0.0000 0.0000 0.0000
Ac2 Ac 0.3333 0.6667 0.6295
Zn1 Zn 0.3333 0.6667 0.0352
Sn1 Sn 0.0000 0.0000 0.5000
Pd1 Pd 0.1753 0.3506 0.2702
# Calculated total energy ... -4.817 eV per atom
# DFT formation energy ... -0.647 eV per atom



Entry 3:
# Ac2Zn4Sn3Pd (PBE, optimized geometry)
data_Ac2Zn4Sn3Pd
_symmetry_space_group_name_H-M 'P -4 m 2'
_symmetry_Int_Tables_number 115
_symmetry_space_group_name_Hall 'P -4 -2'
_cell_length_a 4.567
_cell_length_b 4.567
_cell_length_c 11.287
_cell_angle_alpha 90.00
_cell_angle_beta 90.00
_cell_angle_gamma 90.00
loop_
_atom_site_label
_atom_site_type_symbol
_atom_site_fract_x
_atom_site_fract_y
_atom_site_fract_z
Ac1 Ac 0.000 0.500 0.243
Zn1 Zn 0.000 0.000 0.500
Zn2 Zn 0.000 0.500 0.876
Zn3 Zn 0.500 0.500 0.500
Sn1 Sn 0.000 0.000 0.000
Sn2 Sn 0.000 0.500 0.638
Pd1 Pd 0.500 0.500 0.000
# Calculated total energy ... -3.527 eV per atom
# DFT formation energy ... -0.475 eV per atom



Entry 4:
# Ac2Zn3SnPd4 (PBE, optimized geometry)
data_Ac2Zn3SnPd4
_symmetry_space_group_name_H-M 'P -4 m 2'
_symmetry_Int_Tables_number 115
_symmetry_space_group_name_Hall 'P -4 -2'
_cell_length_a 4.555
_cell_length_b 4.555
_cell_length_c 10.402
_cell_angle_alpha 90.00
_cell_angle_beta 90.00
_cell_angle_gamma 90.00
loop_
_atom_site_label
_atom_site_type_symbol
_atom_site_fract_x
_atom_site_fract_y
_atom_site_fract_z
Ac1 Ac 0.000 0.500 0.234
Zn1 Zn 0.000 0.500 0.882
Zn2 Zn 0.500 0.500 0.500
Sn1 Sn 0.000 0.000 0.500
Pd1 Pd 0.000 0.000 0.000
Pd2 Pd 0.000 0.500 0.636
Pd3 Pd 0.500 0.500 0.000
# Calculated total energy ... -4.361 eV per atom
# DFT formation energy ... -0.680 eV per atom



Entry 5:
# Ac3ZnSn2Pd9 (PBE, optimized geometry)
data_Ac3ZnSn2Pd9
_symmetry_space_group_name_H-M 'P -3 m 1'
_symmetry_Int_Tables_number 164
_symmetry_space_group_name_Hall '-P 3 2"'
_cell_length_a 6.7606
_cell_length_b 6.7606
_cell_length_c 9.4420
_cell_angle_alpha 90.00
_cell_angle_beta 90.00
_cell_angle_gamma 120.00
loop_
_atom_site_label
_atom_site_type_symbol
_atom_site_fract_x
_atom_site_fract_y
_atom_site_fract_z
Ac1 Ac 0.0000 0.0000 0.0000
Ac2 Ac 0.3333 0.6667 0.7194
Zn1 Zn 0.0000 0.0000 0.5000
Sn1 Sn 0.3333 0.6667 0.1908
Pd1 Pd 0.0000 0.5000 0.0000
Pd2 Pd 0.1326 0.2653 0.2880
# Calculated total energy ... -5.087 eV per atom
# DFT formation energy ... -0.531 eV per atom



Entry 6:
# AcZnSn2Pd (PBE, optimized geometry)
data_AcZnSn2Pd
_symmetry_space_group_name_H-M 'I -4 m 2'
_symmetry_Int_Tables_number 119
_symmetry_space_group_name_Hall 'I -4 -2'
_cell_length_a 4.663
_cell_length_b 4.663
_cell_length_c 11.262
_cell_angle_alpha 90.00
_cell_angle_beta 90.00
_cell_angle_gamma 90.00
loop_
_atom_site_label
_atom_site_type_symbol
_atom_site_fract_x
_atom_site_fract_y
_atom_site_fract_z
Ac1 Ac 0.000 0.000 0.000
Zn1 Zn 0.000 0.500 0.250
Sn1 Sn 0.000 0.000 0.372
Pd1 Pd 0.000 0.500 0.750
# Calculated total energy ... -4.326 eV per atom
# DFT formation energy ... -0.610 eV per atom